[1]
# PuPa3Ga4, relaxed, DFT PBE-GGA
# **VASP energy**: -7.07 eV per atom
# **Energy of formation from the pure elements**: -0.208 eV per atom
data_PuPa3Ga4
_symmetry_space_group_name_H-M 'P m m m'
_symmetry_Int_Tables_number 47
_symmetry_space_group_name_Hall '-P 2 2'
_cell_length_a 3.0257
_cell_length_b 5.4206
_cell_length_c 10.8397
_cell_angle_alpha 90.00
_cell_angle_beta 90.00
_cell_angle_gamma 90.00
loop_
_atom_site_label
_atom_site_type_symbol
_atom_site_fract_x
_atom_site_fract_y
_atom_site_fract_z
_atom_site_occupancy
Pu1 Pu 0.0000 0.0000 0.0000 1
Pa1 Pa 0.0000 0.0000 0.5000 1
Pa2 Pa 0.0000 0.5000 0.2488 1
Ga1 Ga 0.5000 0.0000 0.2519 1
Ga2 Ga 0.5000 0.5000 0.0000 1
Ga3 Ga 0.5000 0.5000 0.5000 1

[2]
# NaZr2CoAg, relaxed, DFT PBE-GGA
# **VASP energy**: -4.13 eV per atom
# **Energy of formation from the pure elements**: 1.546 eV per atom
data_NaZr2CoAg
_symmetry_space_group_name_H-M 'P 4/m m m'
_symmetry_Int_Tables_number 123
_symmetry_space_group_name_Hall '-P 4 2'
_cell_length_a 5.0174
_cell_length_b 5.0174
_cell_length_c 4.2308
_cell_angle_alpha 90.00
_cell_angle_beta 90.00
_cell_angle_gamma 90.00
loop_
_atom_site_label
_atom_site_type_symbol
_atom_site_fract_x
_atom_site_fract_y
_atom_site_fract_z
_atom_site_occupancy
Na1 Na 0.0000 0.0000 0.0000 1
Zr1 Zr 0.0000 0.5000 0.0000 1
Co1 Co 0.0000 0.0000 0.5000 1
Ag1 Ag 0.5000 0.5000 0.5000 1

[3]
# TaOs2CBr, relaxed, DFT PBE-GGA
# **VASP energy**: -7.85 eV per atom
# **Raw formation energy**: 5.959 eV per formula unit
data_TaOs2CBr
_symmetry_space_group_name_H-M 'P 4/m m m'
_symmetry_Int_Tables_number 123
_symmetry_space_group_name_Hall '-P 4 2'
_cell_length_a 3.9272
_cell_length_b 3.9272
_cell_length_c 5.2432
_cell_angle_alpha 90.00
_cell_angle_beta 90.00
_cell_angle_gamma 90.00
loop_
_atom_site_label
_atom_site_type_symbol
_atom_site_fract_x
_atom_site_fract_y
_atom_site_fract_z
_atom_site_occupancy
Ta1 Ta 0.0000 0.0000 0.0000 1
Os1 Os 0.0000 0.5000 0.5000 1
C1 C 0.5000 0.5000 0.5000 1
Br1 Br 0.5000 0.5000 0.0000 1

[4]
# RbSrTl2, relaxed, DFT PBE-GGA
# **VASP energy**: -1.98 eV per atom
# **Energy of formation from the pure elements**: -0.131 eV per atom
# **Relative energy among the computed polymorphs**: 64 meV per atom
data_RbSrTl2
_symmetry_space_group_name_H-M 'F m -3 m'
_symmetry_Int_Tables_number 225
_symmetry_space_group_name_Hall '-F 4 2 3'
_cell_length_a 8.4946
_cell_length_b 8.4946
_cell_length_c 8.4946
_cell_angle_alpha 90.00
_cell_angle_beta 90.00
_cell_angle_gamma 90.00
loop_
_atom_site_label
_atom_site_type_symbol
_atom_site_fract_x
_atom_site_fract_y
_atom_site_fract_z
_atom_site_occupancy
Rb1 Rb 0.0000 0.0000 0.0000 1
Sr1 Sr 0.0000 0.0000 0.5000 1
Tl1 Tl 0.2500 0.2500 0.2500 1

[5]
# LiMgAsO3, relaxed, DFT PBE-GGA
# **VASP energy**: -5.65 eV per atom
# **Raw formation energy**: -10.883 eV per formula unit
data_LiMgAsO3
_symmetry_space_group_name_H-M 'P 1 21/m 1'
_symmetry_Int_Tables_number 11
_symmetry_space_group_name_Hall '-P 2yb'
_cell_length_a 5.1972
_cell_length_b 2.9586
_cell_length_c 10.4790
_cell_angle_alpha 90.00
_cell_angle_beta 94.62
_cell_angle_gamma 90.00
loop_
_atom_site_label
_atom_site_type_symbol
_atom_site_fract_x
_atom_site_fract_y
_atom_site_fract_z
_atom_site_occupancy
Li1 Li 0.0237 0.2500 0.0939 1
Mg1 Mg 0.4760 0.7500 0.8874 1
As1 As 0.2667 0.2500 0.6352 1
O1 O 0.2176 0.2500 0.7993 1
O2 O 0.2761 0.7500 0.0526 1
O3 O 0.4960 0.7500 0.6491 1

[6]
# TlAg2PbF6, relaxed, DFT PBE-GGA
# **VASP energy**: -3.89 eV per atom
# **Raw formation energy**: -15.893 eV per formula unit
data_TlAg2PbF6
_symmetry_space_group_name_H-M 'P 1 21/c 1'
_symmetry_Int_Tables_number 14
_symmetry_space_group_name_Hall '-P 2ybc'
_cell_length_a 6.2350
_cell_length_b 6.3660
_cell_length_c 10.9326
_cell_angle_alpha 90.00
_cell_angle_beta 124.09
_cell_angle_gamma 90.00
loop_
_atom_site_label
_atom_site_type_symbol
_atom_site_fract_x
_atom_site_fract_y
_atom_site_fract_z
_atom_site_occupancy
Tl1 Tl 0.0000 0.0000 0.0000 1
Ag1 Ag 0.2333 0.0595 0.7463 1
Pb1 Pb 0.5000 0.0000 0.5000 1
F1 F 0.1000 0.1756 0.4270 1
F2 F 0.2460 0.6800 0.4197 1
F3 F 0.3865 0.0929 0.2516 1

[7]
# Tm3CoPd, relaxed, DFT PBE-GGA
# **VASP energy**: -5.62 eV per atom
# **Energy of formation from the pure elements**: -0.472 eV per atom
# **Relative energy among the computed polymorphs**: 0 meV per atom
data_Tm3CoPd
_symmetry_space_group_name_H-M 'C 1 2/m 1'
_symmetry_Int_Tables_number 12
_symmetry_space_group_name_Hall '-C 2y'
_cell_length_a 9.8135
_cell_length_b 6.0249
_cell_length_c 8.3362
_cell_angle_alpha 90.00
_cell_angle_beta 116.38
_cell_angle_gamma 90.00
loop_
_atom_site_label
_atom_site_type_symbol
_atom_site_fract_x
_atom_site_fract_y
_atom_site_fract_z
_atom_site_occupancy
Tm1 Tm 0.0158 0.0000 0.2236 1
Tm2 Tm 0.1848 0.5000 0.8551 1
Tm3 Tm 0.2067 0.5000 0.3374 1
Co1 Co 0.0000 0.3104 0.0000 1
Pd1 Pd 0.0000 0.2700 0.5000 1

[8]
# Tm6Fe2Pd, relaxed, DFT PBE-GGA
# **VASP energy**: -5.69 eV per atom
# **Energy of formation from the pure elements**: -0.253 eV per atom
data_Tm6Fe2Pd
_symmetry_space_group_name_H-M 'I m m m'
_symmetry_Int_Tables_number 71
_symmetry_space_group_name_Hall '-I 2 2'
_cell_length_a 9.1440
_cell_length_b 9.3104
_cell_length_c 9.6400
_cell_angle_alpha 90.00
_cell_angle_beta 90.00
_cell_angle_gamma 90.00
loop_
_atom_site_label
_atom_site_type_symbol
_atom_site_fract_x
_atom_site_fract_y
_atom_site_fract_z
_atom_site_occupancy
Tm1 Tm 0.0000 0.2000 0.1856 1
Tm2 Tm 0.1875 0.2146 0.5000 1
Tm3 Tm 0.2007 0.5000 0.2730 1
Fe1 Fe 0.0000 0.0000 0.3898 1
Fe2 Fe 0.1193 0.0000 0.0000 1
Pd1 Pd 0.0000 0.5000 0.0000 1
Pd2 Pd 0.0000 0.5000 0.5000 1